A plane-wave DFT calculation with PBE+U was carried out for Na2CoPtO4 after structural relaxation.

The total magnetization is 0.120 μB per atom. Its calculated total energy is -41.5 eV per formula unit.

The structure belongs to space group P2/m (No. 10); the cell edges are 5.656, 3.019 and 5.704 Å and the angles 90.00°, 113.46° and 90.00°. The distinct sites, in fractional coordinates, are Na at (0.000, 0.000, 0.000), Na at (0.000, 0.500, 0.500), Co at (0.500, 0.000, 0.500), Pt at (0.500, 0.500, 0.000), O at (0.288, 0.500, 0.303) and O at (0.330, 0.000, 0.742).